9
Lattice="4.750 0.000 0.000 -2.375 5.073 -0.550 0.000 -0.809 8.740" Properties=species:S:1:pos:R:3 comment="Ce6IrOs2 | Alexandria via LeMat-Bulk | GGA-PBE | relaxed" spacegroup="C2/m, No. 12" crystal_system=monoclinic formation_energy_mev_per_atom=-314 relative_energy_ev_per_fu=0.00 n_ef_per_ev_atom=1.953 pbc="T T T"
Ce 0.000 -0.132 7.183
Ce 2.375 1.002 1.312
Ce 0.000 3.262 6.879
Ce 2.375 1.355 4.871
Ce 0.000 2.909 3.319
Ce 2.375 4.396 1.007
Ir 0.000 -0.405 4.370
Os 2.375 1.603 7.433
Os 0.000 2.662 0.758